DyTlAsO, relaxed, DFT PBE; distance to the lowest polymorph of the same formula = 1.34 eV per formula unit; DFT total energy = -5.214 eV/atom; crystal system = tetragonal
1.0
-4.7600 -3.1587 -1.1412
3.2654 -3.8898 -2.8537
0.6865 -2.5974 4.3259
As Dy O Tl
2 2 2 2
direct
0.0000 0.5000 0.4956
0.5000 0.0000 0.5044
0.0000 0.0000 0.5000
0.5000 0.5000 0.5000
0.0000 0.0000 0.0000
0.5000 0.5000 0.0000
0.5000 0.0000 0.0041
0.0000 0.5000 0.9959

=====

DyYZn2As2O2, relaxed, DFT PBE; DFT total energy = -5.922 eV/atom; crystal system = tetragonal
1.0
-3.7701 0.7807 0.8876
0.4003 -1.9486 3.4138
2.5055 7.5400 4.0100
As Dy O Y Zn
2 1 2 1 2
direct
0.0000 0.0000 0.3166
0.5000 0.5000 0.6830
0.0000 0.0000 0.8778
0.5000 0.0000 0.9994
0.0000 0.5000 0.9994
0.5000 0.5000 0.1232
0.5000 0.0000 0.5003
0.0000 0.5000 0.5003

=====

DyZrAsO, relaxed, DFT PBE; distance to the lowest polymorph of the same formula = 0.00 eV per formula unit; DFT total energy = -7.649 eV/atom; crystal system = tetragonal
1.0
-3.5767 0.6317 2.0299
-2.0971 -1.6998 -3.1662
0.7361 -7.9095 3.7586
As Dy O Zr
2 2 2 2
direct
0.7500 0.7500 0.3004
0.2500 0.2500 0.6996
0.2500 0.2500 0.1128
0.7500 0.7500 0.8872
0.7500 0.2500 0.0000
0.2500 0.7500 0.0000
0.7500 0.2500 0.5000
0.2500 0.7500 0.5000